1.
Nd2DyTm4Mg PBE-GGA relaxed; D(E_F) = 12.2 states/eV/cell; ΔH_f (0 K) = 0.035 eV per atom
1.0
4.940 0.000 0.000
0.000 4.954 0.000
0.000 0.000 10.082
Nd Dy Tm Mg
2 1 4 1
Direct
0.000 0.000 0.000 Nd
0.500 0.500 0.500 Nd
0.000 0.000 0.500 Dy
0.000 0.500 0.249 Tm
0.000 0.500 0.751 Tm
0.500 0.000 0.250 Tm
0.500 0.000 0.750 Tm
0.500 0.500 0.000 Mg

---

2.
ScHg3F PBE-GGA relaxed; excess energy over the best structure of this formula in the dataset = 0 meV/atom; D(E_F) = 4.3 states/eV/cell
1.0
4.924 0.000 0.000
0.000 4.924 0.000
0.000 0.000 4.924
Sc Hg F
1 3 1
Direct
0.000 0.000 0.000 Sc
0.000 0.500 0.500 Hg
0.500 0.000 0.500 Hg
0.500 0.500 0.000 Hg
0.500 0.500 0.500 F

---

3.
Tb3Dy2S8 PBE-GGA relaxed; total energy = -6.19 eV/atom; D(E_F) = 7.2 states/eV/cell
1.0
6.853 -3.972 0.000
6.853 3.972 0.000
-2.326 0.000 6.297
Tb Dy S
3 2 8
Direct
0.000 0.000 0.000 Tb
0.263 0.737 0.500 Tb
0.737 0.263 0.500 Tb
0.262 0.262 0.843 Dy
0.738 0.738 0.157 Dy
0.109 0.641 0.085 S
0.118 0.118 0.431 S
0.359 0.891 0.915 S
0.381 0.381 0.593 S
0.619 0.619 0.407 S
0.641 0.109 0.085 S
0.882 0.882 0.569 S
0.891 0.359 0.915 S

---

4.
Li3Al2Cu2 PBE-GGA relaxed; excess energy over the best structure of this formula in the dataset = 0 meV/atom; D(E_F) = 5.6 states/eV/cell; ΔH_f (0 K) = -0.209 eV per atom
1.0
7.392 0.000 0.000
0.000 4.261 0.000
-2.481 0.000 6.145
Li Al Cu
6 4 4
Direct
0.000 0.000 0.000 Li
0.147 0.000 0.441 Li
0.353 0.500 0.559 Li
0.500 0.500 0.000 Li
0.647 0.500 0.441 Li
0.853 0.000 0.559 Li
0.079 0.500 0.737 Al
0.421 0.000 0.263 Al
0.579 0.000 0.737 Al
0.921 0.500 0.263 Al
0.215 0.500 0.145 Cu
0.285 0.000 0.855 Cu
0.715 0.000 0.145 Cu
0.785 0.500 0.855 Cu

---

5.
Al2CdAs PBE-GGA relaxed; excess energy over the best structure of this formula in the dataset = 102 meV/atom; D(E_F) = 7.9 states/eV/cell; ΔH_f (0 K) = 0.154 eV per atom
1.0
6.432 0.000 0.000
0.000 6.432 0.000
0.000 0.000 10.215
Al Cd As
8 4 4
Direct
0.219 0.250 0.125 Al
0.250 0.719 0.375 Al
0.250 0.781 0.875 Al
0.281 0.250 0.625 Al
0.719 0.750 0.625 Al
0.750 0.219 0.875 Al
0.750 0.281 0.375 Al
0.781 0.750 0.125 Al
0.000 0.000 0.500 Cd
0.000 0.500 0.750 Cd
0.500 0.000 0.250 Cd
0.500 0.500 0.000 Cd
0.000 0.000 0.000 As
0.000 0.500 0.250 As
0.500 0.000 0.750 As
0.500 0.500 0.500 As

---

6.
HoNbW4 PBE-GGA relaxed; D(E_F) = 3.3 states/eV/cell; ΔH_f (0 K) = 0.072 eV per atom
1.0
0.000 3.830 3.830
3.830 0.000 3.830
3.830 3.830 0.000
Ho Nb W
1 1 4
Direct
0.000 0.000 0.000 Ho
0.750 0.750 0.750 Nb
0.375 0.375 0.375 W
0.375 0.375 0.875 W
0.375 0.875 0.375 W
0.875 0.375 0.375 W

---

7.
Tb6Sm2Tm3Pu PBE-GGA relaxed; D(E_F) = 25.1 states/eV/cell; ΔH_f (0 K) = 0.048 eV per atom
1.0
3.068 -5.318 0.000
3.068 5.318 0.000
-2.055 0.000 11.520
Tb Sm Tm Pu
6 2 3 1
Direct
0.084 0.413 0.752 Tb
0.246 0.246 0.248 Tb
0.413 0.084 0.752 Tb
0.587 0.916 0.248 Tb
0.754 0.754 0.752 Tb
0.916 0.587 0.248 Tb
0.333 0.667 0.500 Sm
0.667 0.333 0.500 Sm
0.167 0.833 0.000 Tm
0.500 0.500 0.000 Tm
0.833 0.167 0.000 Tm
0.000 0.000 0.500 Pu

---

8.
TmNpP2 PBE-GGA relaxed; excess energy over the best structure of this formula in the dataset = 0 meV/atom; D(E_F) = 31.4 states/eV/cell; ΔH_f (0 K) = -1.236 eV per atom
1.0
5.580 0.000 0.000
0.000 5.580 0.000
0.000 0.000 11.181
Tm Np P
4 4 8
Direct
0.000 0.250 0.375 Tm
0.000 0.750 0.625 Tm
0.500 0.250 0.125 Tm
0.500 0.750 0.875 Tm
0.000 0.250 0.875 Np
0.000 0.750 0.125 Np
0.500 0.250 0.625 Np
0.500 0.750 0.375 Np
0.000 0.250 0.123 P
0.000 0.250 0.627 P
0.000 0.750 0.373 P
0.000 0.750 0.877 P
0.500 0.250 0.377 P
0.500 0.250 0.873 P
0.500 0.750 0.127 P
0.500 0.750 0.623 P

---

9.
KCoCu2As PBE-GGA relaxed; D(E_F) = 5.2 states/eV/cell; ΔH_f (0 K) = 2.064 eV per atom
1.0
4.799 0.000 0.000
0.000 4.799 0.000
0.000 0.000 5.467
K Co Cu As
1 1 2 1
Direct
0.000 0.000 0.000 K
0.500 0.500 0.500 Co
0.000 0.500 0.000 Cu
0.500 0.000 0.000 Cu
0.000 0.000 0.500 As

---

10.
Na3YC2O6F2 PBE-GGA relaxed; total energy = -6.76 eV/atom; D(E_F) = 0.0 states/eV/cell
1.0
7.116 0.000 0.000
0.000 14.989 0.000
-4.208 0.000 6.707
Na Y C O F
12 4 8 24 8
Direct
0.000 0.000 0.000 Na
0.000 0.500 0.500 Na
0.128 0.183 0.379 Na
0.128 0.317 0.879 Na
0.246 0.508 0.261 Na
0.246 0.992 0.761 Na
0.500 0.000 0.500 Na
0.500 0.500 0.000 Na
0.754 0.008 0.239 Na
0.754 0.492 0.739 Na
0.872 0.683 0.121 Na
0.872 0.817 0.621 Na
0.376 0.715 0.627 Y
0.376 0.785 0.127 Y
0.624 0.215 0.873 Y
0.624 0.285 0.373 Y
0.145 0.631 0.890 C
0.145 0.869 0.390 C
0.389 0.136 0.134 C
0.389 0.364 0.634 C
0.611 0.636 0.366 C
0.611 0.864 0.866 C
0.855 0.131 0.610 C
0.855 0.369 0.110 C
0.121 0.550 0.835 O
0.121 0.950 0.335 O
0.140 0.655 0.046 O
0.140 0.845 0.546 O
0.184 0.696 0.800 O
0.184 0.804 0.300 O
0.358 0.056 0.072 O
0.358 0.444 0.572 O
0.386 0.159 0.292 O
0.386 0.341 0.792 O
0.435 0.201 0.049 O
0.435 0.299 0.549 O
0.565 0.701 0.451 O
0.565 0.799 0.951 O
0.614 0.659 0.208 O
0.614 0.841 0.708 O
0.642 0.556 0.428 O
0.642 0.944 0.928 O
0.816 0.196 0.700 O
0.816 0.304 0.200 O
0.860 0.155 0.454 O
0.860 0.345 0.954 O
0.879 0.050 0.665 O
0.879 0.450 0.165 O
0.137 0.619 0.416 F
0.137 0.881 0.916 F
0.395 0.111 0.672 F
0.395 0.389 0.172 F
0.605 0.611 0.828 F
0.605 0.889 0.328 F
0.863 0.119 0.084 F
0.863 0.381 0.584 F

---

11.
P3Au2 PBE-GGA relaxed; excess energy over the best structure of this formula in the dataset = 287 meV/atom; D(E_F) = 5.1 states/eV/cell; ΔH_f (0 K) = 0.178 eV per atom
1.0
3.461 0.000 0.000
-1.730 2.997 0.000
0.000 0.000 24.624
P Au
9 6
Direct
0.000 0.000 0.000 P
0.000 0.000 0.193 P
0.000 0.000 0.807 P
0.333 0.667 0.473 P
0.333 0.667 0.667 P
0.333 0.667 0.860 P
0.667 0.333 0.140 P
0.667 0.333 0.333 P
0.667 0.333 0.527 P
0.000 0.000 0.401 Au
0.000 0.000 0.599 Au
0.333 0.667 0.068 Au
0.333 0.667 0.265 Au
0.667 0.333 0.735 Au
0.667 0.333 0.932 Au

---

12.
La2SiAg PBE-GGA relaxed; total energy = -4.78 eV/atom; D(E_F) = 5.0 states/eV/cell
1.0
4.449 0.000 0.000
0.000 4.449 0.000
0.000 0.000 6.241
La Si Ag
2 1 1
Direct
0.000 0.000 0.000 La
0.500 0.500 0.500 La
0.000 0.000 0.500 Si
0.500 0.500 0.000 Ag